Entry 1:
The following is a DFT calculation (PBE) of a relaxed structure of MgPaTl.

a = 5.114 Å, b = 5.114 Å, c = 5.114 Å
α = 60.00°, β = 60.00°, γ = 60.00°
Fractional positions:
Mg  0.250  0.250  0.250
Pa  0.000  0.000  0.000
Tl  0.750  0.750  0.750

Values from the calculation:
Calculated total energy (eV per atom): -3.62
Mass density (g/cm³): 8.072

---

Entry 2:
The following is a DFT calculation (PBE) of a relaxed structure of Ta4In2CN.

a = 3.160 Å, b = 3.160 Å, c = 14.447 Å
α = 90.00°, β = 90.00°, γ = 120.00°
Fractional positions:
C  0.000  0.000  0.000
In  0.667  0.333  0.251
In  0.333  0.667  0.749
N  0.000  0.000  0.500
Ta  0.333  0.667  0.083
Ta  0.333  0.667  0.418
Ta  0.667  0.333  0.582
Ta  0.667  0.333  0.917

Values from the calculation:
Calculated total energy (eV per atom): -9.20
Mass density (g/cm³): 13.017

---

Entry 3:
The following is a DFT calculation (PBE) of a relaxed structure of MgNi2Pd2.

a = 7.121 Å, b = 7.121 Å, c = 2.895 Å
α = 90.00°, β = 90.00°, γ = 90.00°
Fractional positions:
Mg  0.000  0.000  0.000
Mg  0.500  0.500  0.000
Ni  0.345  0.155  0.500
Ni  0.845  0.345  0.500
Ni  0.155  0.655  0.500
Ni  0.655  0.845  0.500
Pd  0.642  0.142  0.000
Pd  0.142  0.358  0.000
Pd  0.858  0.642  0.000
Pd  0.358  0.858  0.000

Values from the calculation:
Calculated total energy (eV per atom): -4.67
Mass density (g/cm³): 8.021

---

Entry 4:
The following is a DFT calculation (PBE) of a relaxed structure of TmLu2P3.

a = 3.927 Å, b = 3.927 Å, c = 9.611 Å
α = 90.00°, β = 90.00°, γ = 120.00°
Fractional positions:
Lu  0.667  0.333  0.166
Lu  0.333  0.667  0.834
P  0.000  0.000  0.000
P  0.333  0.667  0.332
P  0.667  0.333  0.668
Tm  0.000  0.000  0.500

Values from the calculation:
Calculated total energy (eV per atom): -6.55
Mass density (g/cm³): 7.914

---

Entry 5:
The following is a DFT calculation (PBE) of a relaxed structure of Zr3Al3PdAu2.

a = 6.911 Å, b = 6.911 Å, c = 3.988 Å
α = 90.00°, β = 90.00°, γ = 120.00°
Fractional positions:
Al  0.756  0.000  0.500
Al  0.244  0.244  0.500
Al  0.000  0.756  0.500
Au  0.667  0.333  0.500
Au  0.333  0.667  0.500
Pd  0.000  0.000  0.000
Zr  0.412  0.000  0.000
Zr  0.000  0.412  0.000
Zr  0.588  0.588  0.000

Values from the calculation:
Calculated total energy (eV per atom): -6.09
Mass density (g/cm³): 8.606

---

Entry 6:
The following is a DFT calculation (PBE) of a relaxed structure of Li2AlSnAu2.

a = 4.627 Å, b = 4.627 Å, c = 5.811 Å
α = 90.00°, β = 90.00°, γ = 120.00°
Fractional positions:
Al  0.000  0.000  0.000
Au  0.333  0.667  0.000
Au  0.000  0.000  0.500
Li  0.667  0.333  0.248
Li  0.667  0.333  0.752
Sn  0.333  0.667  0.500

Values from the calculation:
Calculated total energy (eV per atom): -3.48
Mass density (g/cm³): 8.531